Below is RbMnN2F after structural relaxation, with properties calculated at the PBE+U level.

Properties
Total magnetic moment: 0.200 μB per atom
VASP energy: -5.52 eV per atom
Excess energy over the best structure of this formula in the dataset: 0.000 eV/atom

```
RbMnN2F
1.0
-1.2002 3.4333 -1.3146
-3.5814 -0.7796 1.2337
1.1070 2.1339 4.5623
N Mn Rb F
2 1 1 1
direct
0.0000 0.5000 0.0000 N
0.5000 0.0000 0.0000 N
0.0000 0.0000 0.0000 Mn
0.5000 0.5000 0.5000 Rb
0.0000 0.0000 0.5000 F
```